# Y2CdPtC, relaxed, DFT PBE-GGA
data_Y2CdPtC
_chemical_formula_sum 'Y2 Cd1 Pt1 C1'
_cell_length_a 5.071
_cell_length_b 5.071
_cell_length_c 3.980
_cell_angle_alpha 90.00
_cell_angle_beta 90.00
_cell_angle_gamma 90.00
_space_group_name_H-M_alt 'P 4/m m m'
_space_group_IT_number 123
_space_group_name_Hall '-P 4 2'
loop_
_atom_site_label
_atom_site_type_symbol
_atom_site_fract_x
_atom_site_fract_y
_atom_site_fract_z
Y1 Y 0.000 0.500 0.000
Cd1 Cd 0.000 0.000 0.500
Pt1 Pt 0.500 0.500 0.500
C1 C 0.500 0.500 0.000
# Density of states at the Fermi level = 4.0 states/eV per cell
# Magnetic moment = 0.00 μB per atom
# DFT total energy = -6.29 eV per atom
# Energy relative to the elements = -0.47 eV per atom